Pr2NpTl3Te6 | the Alexandria database | GGA-PBE | optimized geometry; space-group type = C2/m (12); magnetic moment = 0.3333 μB per atom; formation energy (no corrections) = -0.90 eV per atom
1.0
3.961 -6.846 0.000
3.961 6.846 0.000
-2.625 0.000 8.173
Pr Np Tl Te
2 1 3 6
Cartesian
3.961 4.574 0.000
3.961 -4.574 0.000
3.961 0.000 0.000
-1.312 0.000 4.087
2.649 2.310 4.087
2.649 -2.310 4.087
0.034 2.242 6.379
1.371 0.000 1.810
0.034 -2.242 6.379
5.263 2.242 1.794
3.926 0.000 6.363
5.263 -2.242 1.794

=====

Ir2OsN | the Alexandria database | GGA-PBE | optimized geometry; space-group type = I-42d (122); magnetic moment = 0.0000 μB per atom; formation energy (no corrections) = 0.88 eV per atom
1.0
-3.086 3.086 2.842
3.086 -3.086 2.842
3.086 3.086 -2.842
Ir Os N
4 2 2
Cartesian
1.543 0.959 -0.710
2.127 -1.543 3.552
1.543 2.127 2.131
0.959 4.629 0.710
3.086 0.000 1.421
0.000 0.000 2.842
0.000 0.000 0.000
0.000 3.086 1.421

=====

Ag2SbAu | the Alexandria database | GGA-PBE | optimized geometry; space-group type = P4/mmm (123); magnetic moment = 0.0000 μB per atom; formation energy (no corrections) = 0.02 eV per atom
1.0
4.270 0.000 0.000
0.000 4.270 0.000
0.000 0.000 4.355
Ag Sb Au
2 1 1
Cartesian
0.000 2.135 0.000
2.135 0.000 0.000
0.000 0.000 2.178
2.135 2.135 2.178